one.
CuAgCl after structural relaxation. Source: Alexandria via LeMat-Bulk, functional GGA-PBEsol.

Unit cell a=4.3366 b=4.3366 c=4.3366 alpha=60.00 beta=60.00 gamma=60.00
Element x y z (fractional)
Cl  0.0000  0.0000  0.0000
Ag  0.7500  0.7500  0.7500
Cu  0.5000  0.5000  0.5000

Calculated density   5957 kg/m³
Symmetry   No. 216
Magnetic moment   0.00 μB per formula unit

two.
CuAgCl after structural relaxation. Source: Alexandria via LeMat-Bulk, functional GGA-PBEsol.

Unit cell a=3.1555 b=3.1555 c=5.6758 alpha=90.00 beta=90.00 gamma=120.00
Element x y z (fractional)
Ag  0.0000  0.0000  0.0204
Cu  0.3333  0.6667  0.3518
Cl  0.6667  0.3333  0.6277

Calculated density   7018 kg/m³
Symmetry   No. 156
Magnetic moment   0.00 μB per formula unit

The structure with the least stability is one.

one.
AgGeP2Cl after structural relaxation. Source: Alexandria via LeMat-Bulk, functional GGA-PBEsol.

Unit cell a=4.7189 b=4.7189 c=4.9213 alpha=90.00 beta=90.00 gamma=90.00
Site moments in Bohr magnetons follow the coordinates.
Element x y z (fractional)
Ge  0.5000  0.5000  0.5000  0.00
P  0.0000  0.5000  0.0000  0.15
Ag  0.0000  0.0000  0.0000  0.03
P  0.5000  0.0000  0.0000  0.15
Cl  0.0000  0.0000  0.5000  0.06

Calculated density   4211 kg/m³
Symmetry   No. 123
Magnetic moment   0.73 μB per formula unit

two.
AgGeP2Cl after structural relaxation. Source: Alexandria via LeMat-Bulk, functional GGA-PBEsol.

Unit cell a=4.6890 b=4.6890 c=4.8437 alpha=90.00 beta=90.00 gamma=90.00
Site moments in Bohr magnetons follow the coordinates.
Element x y z (fractional)
P  0.5000  0.0000  0.0000  0.21
Ge  0.0000  0.0000  0.0000  0.00
P  0.0000  0.5000  0.0000  0.21
Cl  0.0000  0.0000  0.5000  0.11
Ag  0.5000  0.5000  0.5000  0.04

Calculated density   4333 kg/m³
Symmetry   No. 123
Magnetic moment   1.09 μB per formula unit

The structure with the least stability is one.

one.
AgHgCl2 after structural relaxation. Source: Alexandria via LeMat-Bulk, functional GGA-PBEsol.

Unit cell a=4.0728 b=4.1289 c=5.4117 alpha=90.00 beta=90.00 gamma=90.00
Element x y z (fractional)
Cl  0.5000  0.5000  0.5000
Ag  0.0000  0.0000  0.5000
Cl  0.0000  0.0000  0.0000
Hg  0.5000  0.5000  0.0000

Calculated density   6922 kg/m³
Symmetry   No. 47
Magnetic moment   0.00 μB per formula unit

two.
AgHgCl2 after structural relaxation. Source: Alexandria via LeMat-Bulk, functional GGA-PBEsol.

Unit cell a=3.8500 b=3.8500 c=7.7148 alpha=75.55 beta=75.55 gamma=60.00
Element x y z (fractional)
Cl  0.9736  0.9736  0.0791
Ag  0.2507  0.2507  0.2478
Hg  0.5052  0.5052  0.4844
Cl  0.7704  0.7704  0.6887

Calculated density   6643 kg/m³
Symmetry   No. 160
Magnetic moment   0.00 μB per formula unit

The structure with the least stability is one.